Record 1
A plane-wave DFT calculation with PBE was carried out for a geometry-optimized Y4TmAl structure.

VASP energy: -5.725 eV per atom
calculated formation energy: -0.047 eV per atom
distance to the lowest polymorph of the same formula: 80.3 meV/atom
spin magnetization: 0.008 μB per formula unit

abc: 8.800 13.779 6.226
angles: 90.00 108.51 90.00
Space group C2/c (No. 15)
One atom of each set of equivalent atoms:
Y: 0.100 0.185 0.046 x8
Y: 0.219 0.388 0.375 x8
Tm: 0.000 0.405 0.750 x4
Al: 0.000 0.001 0.250 x4

=====

Record 2
A plane-wave DFT calculation with PBE was carried out for a geometry-optimized TbEuGe structure.

VASP energy: -6.988 eV per atom
calculated formation energy: -0.480 eV per atom
spin magnetization: 7.570 μB per formula unit

abc: 7.136 7.136 7.136
angles: 90.00 90.00 90.00
Space group F-43m (No. 216)
One atom of each set of equivalent atoms:
Tb: 0.000 0.000 0.000 x4
Eu: 0.000 0.000 0.500 x4
Ge: 0.250 0.250 0.750 x4

=====

Record 3
A plane-wave DFT calculation with PBE was carried out for a geometry-optimized SrAl3Tc structure.

VASP energy: -3.754 eV per atom
calculated formation energy: 0.901 eV per atom
distance to the lowest polymorph of the same formula: 1223.1 meV/atom
spin magnetization: 0.000 μB per formula unit

abc: 8.0323 8.0323 7.8932
angles: 90.00 90.00 120.00
Space group R3m (No. 160, hexagonal axes)
One atom of each set of equivalent atoms:
Sr: 0.0000 0.0000 0.0000 x3
Al: 0.1022 0.5511 0.2521 x9
Tc: 0.0000 0.0000 0.3664 x3

=====

Record 4
A plane-wave DFT calculation with PBE was carried out for a geometry-optimized OsSeN2 structure.

VASP energy: -7.033 eV per atom
spin magnetization: 0.678 μB per formula unit

abc: 3.0127 3.0127 19.3225
angles: 90.00 90.00 120.00
Space group R-3m (No. 166, hexagonal axes)
One atom of each set of equivalent atoms:
Os: 0.0000 0.0000 0.0000 x3
Se: 0.0000 0.0000 0.5000 x3
N: 0.0000 0.0000 0.3918 x6

=====

Q: Which formula does entry 3 have?
A: SrAl3Tc